This record from Alexandria describes an optimized crystal structure of Y3PuTe4. The functional is PBE-GGA.

Cell: 8.8105 12.3811 4.3579 Å, 90.00 90.00 90.00°
Closest atoms and distances in Å follow each position.
Space group Cmmm (No. 65)
Symmetry-distinct sites (fractional):
Y1 0.0000 0.0000 0.0000 (multiplicity 2)  6 Te 3.08
Y2 0.2500 0.2500 0.5000 (multiplicity 4)  6 Te 3.10
Pu1 0.0000 0.5000 0.0000 (multiplicity 2)  6 Te 3.11-3.12
Te1 0.0000 0.2486 0.0000 (multiplicity 4)  5 Y 3.08-3.10, 1 Pu 3.11
Te2 0.2473 0.0000 0.5000 (multiplicity 4)  4 Y 3.08-3.10, 2 Pu 3.12

This record from Alexandria describes an optimized crystal structure of YPuTe2. The functional is PBE-GGA.

Values from the calculation:
Offset from the most stable computed form in eV/f.u.: 0.00

Cell: 4.3759 4.3759 21.7640 Å, 90.00 90.00 120.00°
Closest atoms and distances in Å follow each position.
Space group R-3m (No. 166, hexagonal axes)
Symmetry-distinct sites (fractional):
Y1 0.0000 0.0000 0.0000 (multiplicity 3)  6 Te 3.09
Pu1 0.0000 0.0000 0.5000 (multiplicity 3)  6 Te 3.13
Te1 0.0000 0.0000 0.2515 (multiplicity 6)  3 Y 3.09, 3 Pu 3.13

This record from Alexandria describes an optimized crystal structure of Y6PuTe8. The functional is PBE-GGA.

Cell: 12.3200 12.3200 12.3200 Å, 90.00 90.00 90.00°
Closest atoms and distances in Å follow each position.
Space group Fm-3m (No. 225)
Symmetry-distinct sites (fractional):
Y1 0.0000 0.2500 0.2500 (multiplicity 24)  6 Te 3.08
Pu1 0.0000 0.0000 0.0000 (multiplicity 4)  6 Te 3.18
Te1 0.0000 0.0000 0.2581 (multiplicity 24)  4 Y 3.08, 1 Pu 3.18
Te2 0.2500 0.2500 0.2500 (multiplicity 8)  6 Y 3.08

The evaluated calculated total energy for the records listed, in turn: -7.06; -8.00; -6.56 eV per atom.
The evaluated theoretical density for the records listed, in turn: 7.13; 8.12; 6.39 g/cm³.
The evaluated total magnetic moment for the records listed, in turn: 12.12; 18.16; 25.15 μB/cell.